(1)
HgTe2Pt | PBE | relaxed

## Properties
As for the symmetry: F-43m.

Structure (POSCAR):
```
HgTe2Pt
1.0
-0.2581 -5.0376 0.5627
-4.0014 -2.5527 -1.7981
0.5296 -3.0346 -4.0338
Hg Pt Te
1 1 2
Direct
0.2500 0.2500 0.2500 Hg
0.5000 0.5000 0.5000 Pt
0.0000 0.0000 0.0000 Te
0.7500 0.7500 0.7500 Te
```

(2)
PmHoZn | PBE | relaxed

## Properties
As for the formation energy: 0.07 eV per formula unit. As for the symmetry: F-43m.

Structure (POSCAR):
```
PmHoZn
1.0
0.0000 3.5227 3.5227
3.5227 0.0000 3.5227
3.5227 3.5227 0.0000
Ho Pm Zn
1 1 1
Direct
0.2500 0.2500 0.2500 Ho
0.7500 0.7500 0.7500 Pm
0.0000 0.0000 0.0000 Zn
```

(3)
ErAgPbSe3 | PBE | relaxed

## Properties
As for the symmetry: Pnma.

Structure (POSCAR):
```
ErAgPbSe3
1.0
-11.2952 3.5127 -1.0915
-0.7514 -1.1759 3.9917
3.1020 11.1793 3.8773
Ag Er Pb Se
4 4 4 12
Direct
0.7549 0.2500 0.1964 Ag
0.2549 0.2500 0.3036 Ag
0.7451 0.7500 0.6964 Ag
0.2451 0.7500 0.8036 Ag
0.4786 0.7500 0.1818 Er
0.9786 0.7500 0.3182 Er
0.0214 0.2500 0.6818 Er
0.5214 0.2500 0.8182 Er
0.8214 0.7500 0.0005 Pb
0.3214 0.7500 0.4995 Pb
0.6786 0.2500 0.5005 Pb
0.1786 0.2500 0.9995 Pb
0.5839 0.2500 0.0665 Se
0.9728 0.2500 0.1476 Se
0.2410 0.7500 0.1676 Se
0.7410 0.7500 0.3324 Se
0.4728 0.2500 0.3524 Se
0.0839 0.2500 0.4335 Se
0.9161 0.7500 0.5665 Se
0.5272 0.7500 0.6476 Se
0.2590 0.2500 0.6676 Se
0.7590 0.2500 0.8324 Se
0.0272 0.7500 0.8524 Se
0.4161 0.7500 0.9335 Se
```

(4)
NdIrPb | PBE | relaxed

## Properties
As for the symmetry: F-43m.

Structure (POSCAR):
```
NdIrPb
1.0
0.0000 3.4851 3.4851
3.4851 0.0000 3.4851
3.4851 3.4851 0.0000
Ir Nd Pb
1 1 1
Direct
0.2500 0.2500 0.2500 Ir
0.0000 0.0000 0.0000 Nd
0.7500 0.7500 0.7500 Pb
```

(5)
K2Rb2CdBi2 | PBE | relaxed

## Properties
As for the symmetry: R-3m.

Structure (POSCAR):
```
K2Rb2CdBi2
1.0
-5.2601 3.7878 8.9621
-4.5305 8.6953 5.1188
-9.1764 4.5948 4.1249
Bi Cd K Rb
2 1 2 2
Direct
0.0880 0.0880 0.0880 Bi
0.9120 0.9120 0.9120 Bi
0.0000 0.0000 0.0000 Cd
0.3852 0.3852 0.3852 K
0.6148 0.6148 0.6148 K
0.2089 0.2089 0.2089 Rb
0.7911 0.7911 0.7911 Rb
```

(6)
Rb6Zn2O5 | PBE | relaxed

## Properties
As for the symmetry: Cm.

Structure (POSCAR):
```
Rb6Zn2O5
1.0
3.5472 -5.9839 0.0000
3.5472 5.9839 0.0000
-0.3189 0.0000 6.8919
O Rb Zn
5 6 2
Direct
0.4832 0.2083 0.4056 O
0.2083 0.4832 0.4056 O
0.6016 0.6016 0.7426 O
0.8185 0.0945 0.9573 O
0.0945 0.8185 0.9573 O
0.8600 0.4363 0.1808 Rb
0.4363 0.8600 0.1808 Rb
0.0097 0.0097 0.3611 Rb
0.8830 0.4131 0.6857 Rb
0.4131 0.8830 0.6857 Rb
0.3008 0.3008 0.9966 Rb
0.4400 0.4400 0.5077 Zn
0.8473 0.8473 0.8786 Zn
```

(7)
RbMo3P5 | PBE | relaxed

## Properties
As for the symmetry: P6/mmm.

Structure (POSCAR):
```
RbMo3P5
1.0
5.3154 0.0000 0.0000
-2.6577 4.6033 0.0000
0.0000 0.0000 8.2652
Mo P Rb
3 5 1
Direct
0.5000 0.0000 0.5000 Mo
0.0000 0.5000 0.5000 Mo
0.5000 0.5000 0.5000 Mo
0.6667 0.3333 0.2580 P
0.3333 0.6667 0.2580 P
0.0000 0.0000 0.5000 P
0.6667 0.3333 0.7420 P
0.3333 0.6667 0.7420 P
0.0000 0.0000 0.0000 Rb
```

(8)
La2Tc2O5 | PBE | relaxed

## Properties
As for the symmetry: P4/mmm.

Structure (POSCAR):
```
La2Tc2O5
1.0
-6.7122 -1.7307 0.1106
0.7020 -2.5252 3.0880
-0.7306 3.0010 2.6202
La O Tc
2 5 2
Direct
0.0000 0.0000 0.0000 La
0.5000 0.0000 0.0000 La
0.2296 0.5000 0.0000 O
0.7704 0.5000 0.0000 O
0.2296 0.0000 0.5000 O
0.7704 0.0000 0.5000 O
0.5000 0.5000 0.5000 O
0.1739 0.5000 0.5000 Tc
0.8261 0.5000 0.5000 Tc
```

(9)
Li4ReGe2 | PBE | relaxed

## Properties
As for the symmetry: Cmmm.

Structure (POSCAR):
```
Li4ReGe2
1.0
-3.9690 3.3273 -2.3580
-0.1054 -3.2045 4.7015
1.5328 3.5840 2.4772
Ge Li Re
2 4 1
Direct
0.6258 0.3742 0.5000 Ge
0.3742 0.6258 0.5000 Ge
0.7503 0.2497 0.0000 Li
0.5000 0.5000 0.0000 Li
0.2497 0.7503 0.0000 Li
0.0000 0.0000 0.5000 Li
0.0000 0.0000 0.0000 Re
```

(10)
CuSiIrAu | PBE | relaxed

## Properties
As for the symmetry: F-43m.

Structure (POSCAR):
```
CuSiIrAu
1.0
0.0000 3.0758 3.0758
3.0758 0.0000 3.0758
3.0758 3.0758 0.0000
Au Cu Ir Si
1 1 1 1
Direct
0.5000 0.5000 0.5000 Au
0.7500 0.7500 0.7500 Cu
0.2500 0.2500 0.2500 Ir
0.0000 0.0000 0.0000 Si
```

(11)
HoTlHgSe3 | PBE | relaxed

## Properties
As for the symmetry: Pnma.

Structure (POSCAR):
```
HoTlHgSe3
1.0
12.2691 0.0000 0.0000
0.0000 4.2661 0.0000
0.0000 0.0000 12.7944
Hg Ho Se Tl
4 4 12 4
Direct
0.7488 0.0000 0.1947 Hg
0.2488 0.0000 0.3053 Hg
0.7512 0.5000 0.6947 Hg
0.2512 0.5000 0.8053 Hg
0.4646 0.5000 0.1715 Ho
0.9646 0.5000 0.3285 Ho
0.0354 0.0000 0.6715 Ho
0.5354 0.0000 0.8285 Ho
0.5825 0.0000 0.0652 Se
0.2365 0.5000 0.1691 Se
0.9677 0.0000 0.1732 Se
0.4677 0.0000 0.3268 Se
0.7365 0.5000 0.3309 Se
0.0825 0.0000 0.4348 Se
0.9175 0.5000 0.5652 Se
0.2635 0.0000 0.6691 Se
0.5323 0.5000 0.6732 Se
0.0323 0.5000 0.8268 Se
0.7635 0.0000 0.8309 Se
0.4175 0.5000 0.9348 Se
0.1577 0.0000 0.0027 Tl
0.6577 0.0000 0.4973 Tl
0.3423 0.5000 0.5027 Tl
0.8423 0.5000 0.9973 Tl
```

(12)
SrCuIrS3 | PBE | relaxed

## Properties
As for the symmetry: Cmcm.

Structure (POSCAR):
```
SrCuIrS3
1.0
1.9281 -6.1417 0.0000
1.9281 6.1417 0.0000
0.0000 0.0000 9.2994
Cu Ir S Sr
2 2 6 2
Direct
0.5263 0.4737 0.2500 Cu
0.4737 0.5263 0.7500 Cu
0.0000 0.0000 0.0000 Ir
0.0000 0.0000 0.5000 Ir
0.6242 0.3758 0.0367 S
0.9255 0.0745 0.2500 S
0.6242 0.3758 0.4633 S
0.3758 0.6242 0.5367 S
0.0745 0.9255 0.7500 S
0.3758 0.6242 0.9633 S
0.2375 0.7625 0.2500 Sr
0.7625 0.2375 0.7500 Sr
```

| no. | total DFT energy (no corrections) (eV/atom) |
| --- | --- |
| 1 | -2.7333 |
| 2 | -3.5059 |
| 3 | -4.4989 |
| 4 | -5.4358 |
| 5 | -2.2467 |
| 6 | -3.7521 |
| 7 | -6.7917 |
| 8 | -8.2221 |
| 9 | -3.4861 |
| 10 | -5.2085 |
| 11 | -3.8340 |
| 12 | -5.1969 |